PBE W, relaxed; E = -12.87 eV per atom; space group = Pm-3n; total moment = 0.0 Bohr magnetons per cell; excess energy over the best structure of this formula in the dataset = 89 meV/atom
1.0
5.081 0.000 0.000
0.000 5.081 0.000
0.000 0.000 5.081
W
8
Cartesian
0.000 0.000 0.000
0.000 1.270 2.541
0.000 3.811 2.541
1.270 2.541 0.000
2.541 0.000 1.270
2.541 0.000 3.811
2.541 2.541 2.541
3.811 2.541 0.000